(1)
PBE Hf2AsPS2, relaxed; crystal system = orthorhombic; E_tot = -7.59 eV per atom; V = 18.3 Å³/atom
1.0
-1.780 6.159 2.500
1.780 -6.159 2.500
1.780 6.159 -2.500
Hf As P S
2 1 1 2
direct
0.136 0.000 0.136 Hf
0.864 0.000 0.864 Hf
0.718 0.218 0.500 As
0.250 0.750 0.500 P
0.289 0.501 0.788 S
0.712 0.501 0.212 S

***

(2)
PBE U2Fe3Ge, relaxed; crystal system = hexagonal; E_tot = -8.94 eV per atom; V = 14.5 Å³/atom
1.0
5.200 0.000 0.000
-2.600 4.504 0.000
0.000 0.000 7.450
U Fe Ge
4 6 2
direct
0.333 0.667 0.067 U
0.333 0.667 0.433 U
0.667 0.333 0.567 U
0.667 0.333 0.933 U
0.171 0.342 0.750 Fe
0.171 0.829 0.750 Fe
0.342 0.171 0.250 Fe
0.658 0.829 0.750 Fe
0.829 0.171 0.250 Fe
0.829 0.658 0.250 Fe
0.000 0.000 0.000 Ge
0.000 0.000 0.500 Ge

***

(3)
PBE LuGaPO, relaxed; crystal system = orthorhombic; E_tot = -5.88 eV per atom; polymorph energy (0 for the lowest one) = 0.193 eV/atom; V = 18.5 Å³/atom
1.0
3.881 0.000 0.000
0.000 6.739 0.000
0.000 0.000 5.646
Lu Ga P O
2 2 2 2
direct
0.000 0.188 0.000 Lu
0.000 0.812 0.500 Lu
0.500 0.384 0.596 Ga
0.500 0.616 0.096 Ga
0.000 0.211 0.486 P
0.000 0.789 0.986 P
0.500 0.334 0.971 O
0.500 0.666 0.471 O

***

(4)
PBE Hf2Sn3Mo4N3, relaxed; crystal system = monoclinic; E_tot = -8.75 eV per atom; V = 15.5 Å³/atom
1.0
4.862 -2.822 0.000
4.862 2.822 0.000
-3.209 0.000 13.523
Hf Sn Mo N
4 6 8 6
direct
0.027 0.847 0.587 Hf
0.153 0.973 0.913 Hf
0.847 0.027 0.087 Hf
0.973 0.153 0.413 Hf
0.077 0.281 0.747 Sn
0.281 0.077 0.247 Sn
0.441 0.559 0.750 Sn
0.559 0.441 0.250 Sn
0.719 0.923 0.753 Sn
0.923 0.719 0.253 Sn
0.192 0.386 0.079 Mo
0.332 0.445 0.421 Mo
0.386 0.192 0.579 Mo
0.445 0.332 0.921 Mo
0.555 0.668 0.079 Mo
0.614 0.808 0.421 Mo
0.668 0.555 0.579 Mo
0.808 0.614 0.921 Mo
0.000 0.500 0.500 N
0.155 0.690 0.999 N
0.310 0.845 0.501 N
0.500 0.000 0.000 N
0.690 0.155 0.499 N
0.845 0.310 0.001 N